1.
Compound: LiGa2Ni
Source: Alexandria
Functional: GGA-PBE
Structure: relaxed

Lattice parameters (Å, degrees): 4.0636 4.0636 4.9405 65.72 65.72 60.00
Sites, in units of the cell vectors:
1 Ga 0.2753 0.2753 0.1742
2 Ga 0.0549 0.0549 0.8353
3 Li 0.4884 0.4884 0.5349
4 Ni 0.6815 0.6815 0.9556

Values from the calculation:
Magnetization, μB/cell: 0.0
Space group: No. 160
Polymorph energy (0 for the lowest one), eV per atom: 0.100

2.
Compound: Ac2Th2Ir3
Source: Alexandria
Functional: GGA-PBE
Structure: relaxed

Lattice parameters (Å, degrees): 4.2122 7.1289 7.5597 98.60 90.08 107.19
Sites, in units of the cell vectors:
1 Ir 0.0000 0.0000 0.0000
2 Ir 0.7660 0.5308 0.2451
3 Ir 0.2340 0.4692 0.7549
4 Th 0.6322 0.2649 0.9119
5 Th 0.3678 0.7351 0.0881
6 Ac 0.1318 0.2618 0.3636
7 Ac 0.8682 0.7382 0.6364

Values from the calculation:
Magnetization, μB/cell: 0.0
Space group: No. 2
Uncorrected energy, eV per formula unit: -55.14

3.
Compound: Ac3Ag3Hg8
Source: Alexandria
Functional: GGA-PBE
Structure: relaxed

Lattice parameters (Å, degrees): 5.1288 9.1371 9.1371 65.22 73.70 73.70
Sites, in units of the cell vectors:
1 Hg 0.6392 0.0651 0.6565
2 Hg 0.1453 0.5002 0.2092
3 Hg 0.3608 0.9349 0.3435
4 Hg 0.8547 0.4998 0.7908
5 Hg 0.8547 0.7908 0.4998
6 Hg 0.3608 0.3435 0.9349
7 Hg 0.6392 0.6565 0.0651
8 Hg 0.1453 0.2092 0.5002
9 Ag 0.0000 0.1498 0.8502
10 Ag 0.0000 0.8502 0.1498
11 Ag 0.5000 0.0000 0.0000
12 Ac 0.5000 0.5000 0.5000
13 Ac 0.7895 0.2105 0.2105
14 Ac 0.2105 0.7895 0.7895

Values from the calculation:
Magnetization, μB/cell: 0.0
Space group: No. 71
Uncorrected energy, eV per formula unit: -27.74